Sb5Pt | Alexandria | PBE | optimized geometry; magnetization = 0.00 μB per cell; excess energy over the best structure of this formula in the dataset = 0.0 meV per atom; calculated total energy = -4.5543 eV per atom
1.0
-5.822 4.318 1.061
2.442 -6.454 -2.458
-0.728 -2.267 5.231
Sb Pt
5 1
Direct
0.382 0.618 0.000
0.000 0.000 0.500
0.672 0.328 0.500
0.618 0.382 0.000
0.328 0.672 0.500
0.000 0.000 0.000